1.
# GGA-PBEsol PtPbW2, relaxed
data_PtPbW2
_cell_length_a 3.959
_cell_length_b 3.959
_cell_length_c 8.623
_cell_angle_alpha 90.00
_cell_angle_beta 90.00
_cell_angle_gamma 90.00
_space_group_name_H-M_alt 'I 4/m m m'
_space_group_IT_number 139
_space_group_name_Hall '-I 4 2'
loop_
_atom_site_label
_atom_site_type_symbol
_atom_site_fract_x
_atom_site_fract_y
_atom_site_fract_z
_atom_site_occupancy
Pt1 Pt 0.000 0.000 0.000 1
Pb1 Pb 0.000 0.000 0.500 1
W1 W 0.000 0.500 0.250 1
# E_tot = -9.069 eV/atom
# Size of the total moment = 0.00 Bohr magnetons per cell

***

2.
# GGA-PBEsol V6O11, relaxed
data_V6O11
_cell_length_a 5.5659
_cell_length_b 5.5659
_cell_length_c 13.2436
_cell_angle_alpha 90.00
_cell_angle_beta 90.00
_cell_angle_gamma 120.00
_space_group_name_H-M_alt 'P 63/m m c'
_space_group_IT_number 194
_space_group_name_Hall '-P 6c 2c'
loop_
_atom_site_label
_atom_site_type_symbol
_atom_site_fract_x
_atom_site_fract_y
_atom_site_fract_z
_atom_site_occupancy
V1 V 0.0000 0.0000 0.1494 1
V2 V 0.0000 0.5000 0.0000 1
V3 V 0.3333 0.6667 0.2500 1
O1 O 0.1512 0.3023 0.2500 1
O2 O 0.1659 0.3318 0.5786 1
O3 O 0.3333 0.6667 0.0931 1
# Polymorph energy (0 for the lowest one) = 29 meV per atom
# E_form (uncorrected) = -2.357 eV per atom
# Size of the total moment = 8.04 Bohr magnetons per cell

***

3.
# GGA-PBEsol Nb3AlCo8, relaxed
data_Nb3AlCo8
_cell_length_a 4.6738
_cell_length_b 4.6738
_cell_length_c 22.8895
_cell_angle_alpha 90.00
_cell_angle_beta 90.00
_cell_angle_gamma 120.00
_space_group_name_H-M_alt 'R 3 m'
_space_group_IT_number 160
_space_group_name_Hall 'R 3 -2"'
loop_
_atom_site_label
_atom_site_type_symbol
_atom_site_fract_x
_atom_site_fract_y
_atom_site_fract_z
_atom_site_occupancy
Nb1 Nb 0.0000 0.0000 0.0000 1
Nb2 Nb 0.0000 0.0000 0.1252 1
Nb3 Nb 0.0000 0.0000 0.5071 1
Al1 Al 0.0000 0.0000 0.6309 1
Co1 Co 0.0000 0.0000 0.3150 1
Co2 Co 0.0000 0.0000 0.8156 1
Co3 Co 0.1671 0.3341 0.3994 1
Co4 Co 0.1683 0.3366 0.8989 1
# E_tot = -8.431 eV/atom
# Size of the total moment = 0.09 Bohr magnetons per cell